First-principles (PBE) data for crystalline YbTa5Ag2O15 at its relaxed geometry, as listed in the Alexandria database. Values from VASP.

**Crystal system**: tetragonal
**Space-group type**: P4/mbm, No. 127

Geometry as Quantum ESPRESSO input:
```
&SYSTEM
  ibrav = 0, nat = 46, ntyp = 4
/
ATOMIC_SPECIES
Yb 173.04 Yb.upf
Ta 180.95 Ta.upf
Ag 107.87 Ag.upf
O 16.00 O.upf
ATOMIC_POSITIONS angstrom
Yb 0.0000 0.0000 0.0000
Yb 6.3040 6.3040 0.0000
Ta 0.0000 6.3040 1.9647
Ta 1.0073 2.6501 1.9647
Ta 2.6501 11.6007 1.9647
Ta 3.6539 5.2967 1.9647
Ta 5.2967 8.9542 1.9647
Ta 6.3040 0.0000 1.9647
Ta 7.3114 3.6539 1.9647
Ta 8.9542 7.3114 1.9647
Ta 9.9580 1.0073 1.9647
Ta 11.6007 9.9580 1.9647
Ag 2.0367 8.3408 0.0000
Ag 4.2673 2.0367 0.0000
Ag 8.3408 10.5713 0.0000
Ag 10.5713 4.2673 0.0000
O 0.0000 6.3040 0.0000
O 0.0106 8.3052 1.9647
O 0.7386 10.9476 1.9647
O 0.9995 2.4080 0.0000
O 1.6605 0.7386 1.9647
O 2.0012 6.3146 1.9647
O 2.4080 11.6086 0.0000
O 2.8143 3.4898 1.9647
O 3.4898 9.7938 1.9647
O 3.8960 5.3046 0.0000
O 4.3029 0.0106 1.9647
O 4.6435 7.0427 1.9647
O 5.3046 8.7121 0.0000
O 5.5654 4.6435 1.9647
O 6.2935 2.0012 1.9647
O 6.3040 0.0000 0.0000
O 6.3146 10.6069 1.9647
O 7.0427 7.9646 1.9647
O 7.3035 3.8960 0.0000
O 7.9646 5.5654 1.9647
O 8.3052 12.5975 1.9647
O 8.7121 7.3035 0.0000
O 9.1183 2.8143 1.9647
O 9.7938 9.1183 1.9647
O 10.2001 0.9995 0.0000
O 10.6069 6.2935 1.9647
O 10.9476 11.8695 1.9647
O 11.6086 10.2001 0.0000
O 11.8695 1.6605 1.9647
O 12.5975 4.3029 1.9647
CELL_PARAMETERS angstrom
12.6081 0.0000 0.0000
0.0000 12.6081 0.0000
0.0000 0.0000 3.9295
```

---

First-principles (PBE) data for crystalline Tb12Ag3O5 at its relaxed geometry, as listed in the Alexandria database. Values from VASP.

**Crystal system**: cubic
**Space-group type**: Ia-3d, No. 230

Geometry as Quantum ESPRESSO input:
```
&SYSTEM
  ibrav = 0, nat = 80, ntyp = 3
/
ATOMIC_SPECIES
Tb 158.93 Tb.upf
Ag 107.87 Ag.upf
O 16.00 O.upf
ATOMIC_POSITIONS angstrom
Tb 2.2978 -0.6016 0.8045
Tb 9.3140 4.6751 -4.4722
Tb 10.0389 0.6016 0.8045
Tb 9.3140 -3.0661 4.4722
Tb 7.1395 -0.8045 2.2978
Tb 12.2133 -1.5728 3.0661
Tb 0.8045 2.2978 -0.6016
Tb 10.8073 3.2690 -1.5728
Tb 4.6751 4.4722 -1.5728
Tb 6.9367 2.2978 0.6016
Tb -0.6016 0.8045 2.2978
Tb 4.4722 -1.5728 4.6751
Tb 7.1395 6.9367 -2.2978
Tb 4.4722 1.5728 3.0661
Tb 4.6751 -4.4722 9.3140
Tb 6.9367 -2.2978 7.1395
Tb 3.0661 4.4722 1.5728
Tb 8.5456 5.4434 0.6016
Tb 4.4722 9.3140 -3.0661
Tb 7.1395 0.8045 5.4434
Tb 2.2978 7.1395 -0.8045
Tb 9.3140 3.0661 3.2690
Tb 1.5728 3.0661 4.4722
Tb 2.2978 0.6016 6.9367
Tb 5.4434 7.1395 0.8045
Tb 6.1684 4.6751 3.2690
Tb -1.5728 4.6751 4.4722
Tb 5.4434 0.6016 8.5456
Tb 0.6016 6.9367 2.2978
Tb 3.2690 -1.5728 10.8073
Tb -0.8045 2.2978 7.1395
Tb 4.6751 3.2690 6.1684
Tb 0.8045 10.0389 0.6016
Tb 3.0661 12.2133 -1.5728
Tb 3.2690 6.1684 4.6751
Tb 0.6016 0.8045 10.0389
Tb 3.2690 9.3140 3.0661
Tb 8.3428 6.9367 5.4434
Tb 0.8045 5.4434 7.1395
Tb 3.0661 3.2690 9.3140
Tb -3.0661 4.4722 9.3140
Tb 6.9367 5.4434 8.3428
Tb -4.4722 9.3140 4.6751
Tb 0.6016 8.5456 5.4434
Tb -1.5728 10.8073 3.2690
Tb -2.2978 7.1395 6.9367
Tb -1.5728 3.0661 12.2133
Tb 5.4434 8.3428 6.9367
Ag 3.8706 1.9353 0.0000
Ag 7.7412 3.8706 -1.9353
Ag 1.9353 0.0000 3.8706
Ag 9.6764 0.0000 3.8706
Ag 0.0000 3.8706 1.9353
Ag 3.8706 -1.9353 7.7412
Ag 3.8706 9.6764 0.0000
Ag 7.7412 3.8706 5.8059
Ag -1.9353 7.7412 3.8706
Ag 5.8059 7.7412 3.8706
Ag 0.0000 3.8706 9.6764
Ag 3.8706 5.8059 7.7412
O 0.0000 0.0000 0.0000
O 3.8706 3.8706 -3.8706
O 3.8706 -3.8706 3.8706
O 7.7412 0.0000 0.0000
O 11.6117 1.9353 0.0000
O 7.7412 -3.8706 5.8059
O 5.8059 7.7412 -3.8706
O 5.8059 0.0000 3.8706
O 3.8706 5.8059 0.0000
O 7.7412 3.8706 1.9353
O -3.8706 3.8706 3.8706
O 0.0000 7.7412 0.0000
O 0.0000 0.0000 7.7412
O 3.8706 3.8706 3.8706
O 0.0000 3.8706 5.8059
O 3.8706 1.9353 7.7412
O 1.9353 7.7412 3.8706
O 1.9353 0.0000 11.6117
O 0.0000 11.6117 1.9353
O -3.8706 5.8059 7.7412
CELL_PARAMETERS angstrom
-7.7412 7.7412 7.7412
7.7412 -7.7412 7.7412
7.7412 7.7412 -7.7412
```

---

Table of calculated density (Mg/m³), in record order: 8.153, 8.271
Table of raw total energy (eV/atom), in record order: -8.585, -5.914